Entry 1:
# WNCl2, single point on PBEsol structure, DFT SCAN
# D(E_F) ... 1.81 states/eV/f.u.
# Uncorrected energy ... -22.5302 eV/atom
data_WNCl2
_chemical_formula_sum 'W3 N3 Cl6'
_symmetry_space_group_name_H-M 'R -3 m'
_symmetry_Int_Tables_number 166
_symmetry_space_group_name_Hall '-R 3 2"'
_cell_length_a 3.0772
_cell_length_b 3.0772
_cell_length_c 27.6557
_cell_angle_alpha 90.00
_cell_angle_beta 90.00
_cell_angle_gamma 120.00
loop_
_atom_site_label
_atom_site_fract_x
_atom_site_fract_y
_atom_site_fract_z
_atom_site_occupancy
W1 0.0000 0.0000 0.0000 1
N1 0.0000 0.0000 0.5000 1
Cl1 0.0000 0.0000 0.0800 1

***

Entry 2:
# BiTe2Br4, single point on PBEsol structure, DFT SCAN
# Uncorrected energy ... -33.4415 eV/atom
data_BiTe2Br4
_chemical_formula_sum 'Bi2 Te4 Br8'
_symmetry_space_group_name_H-M 'P -1'
_symmetry_Int_Tables_number 2
_symmetry_space_group_name_Hall '-P 1'
_cell_length_a 7.3991
_cell_length_b 7.7463
_cell_length_c 9.3225
_cell_angle_alpha 94.76
_cell_angle_beta 98.00
_cell_angle_gamma 100.36
loop_
_atom_site_label
_atom_site_fract_x
_atom_site_fract_y
_atom_site_fract_z
_atom_site_occupancy
Bi1 0.2179 0.4208 0.3961 1
Te1 0.2717 0.8306 0.9498 1
Te2 0.4133 0.1385 0.8531 1
Br1 0.0245 0.0809 0.2958 1
Br2 0.0974 0.4186 0.6852 1
Br3 0.3059 0.4737 0.1201 1
Br4 0.4807 0.7520 0.5118 1

***

Entry 3:
# Nb3GaFe, single point on PBEsol structure, DFT SCAN
# D(E_F) ... 3.35 states/eV/f.u.
# Energy of formation from the pure elements ... 0.57 eV/atom
# Uncorrected energy ... -26.2036 eV/atom
data_Nb3GaFe
_chemical_formula_sum 'Nb3 Ga1 Fe1'
_symmetry_space_group_name_H-M 'P m -3 m'
_symmetry_Int_Tables_number 221
_symmetry_space_group_name_Hall '-P 4 2 3'
_cell_length_a 4.5293
_cell_length_b 4.5293
_cell_length_c 4.5293
_cell_angle_alpha 90.00
_cell_angle_beta 90.00
_cell_angle_gamma 90.00
loop_
_atom_site_label
_atom_site_fract_x
_atom_site_fract_y
_atom_site_fract_z
_atom_site_occupancy
Nb1 0.0000 0.0000 0.5000 1
Ga1 0.5000 0.5000 0.5000 1
Fe1 0.0000 0.0000 0.0000 1

***

Entry 4:
# SrTl2CoF, single point on PBEsol structure, DFT SCAN
# D(E_F) ... 3.93 states/eV/f.u.
# Uncorrected energy ... -38.0108 eV/atom
data_SrTl2CoF
_chemical_formula_sum 'Sr1 Tl2 Co1 F1'
_symmetry_space_group_name_H-M 'P 4/m m m'
_symmetry_Int_Tables_number 123
_symmetry_space_group_name_Hall '-P 4 2'
_cell_length_a 5.5613
_cell_length_b 5.5613
_cell_length_c 3.7601
_cell_angle_alpha 90.00
_cell_angle_beta 90.00
_cell_angle_gamma 90.00
loop_
_atom_site_label
_atom_site_fract_x
_atom_site_fract_y
_atom_site_fract_z
_atom_site_occupancy
Sr1 0.0000 0.0000 0.0000 1
Tl1 0.0000 0.5000 0.5000 1
Co1 0.5000 0.5000 0.0000 1
F1 0.5000 0.5000 0.5000 1